(1)
VASP calculation (PBE) on crystalline Sr4HfPa3As8 at its relaxed geometry.

abc: 8.604 8.604 8.604
angles: 58.23 58.23 58.23
Atoms (fractional coordinates):
1 Sr 0.000 0.000 0.000
2 Sr 0.000 0.500 0.500
3 Sr 0.500 0.000 0.500
4 Sr 0.500 0.500 0.000
5 Hf 0.500 0.500 0.500
6 Pa 0.000 0.000 0.500
7 Pa 0.000 0.500 0.000
8 Pa 0.500 0.000 0.000
9 As 0.240 0.240 0.240
10 As 0.246 0.734 0.734
11 As 0.266 0.266 0.754
12 As 0.266 0.754 0.266
13 As 0.734 0.246 0.734
14 As 0.734 0.734 0.246
15 As 0.754 0.266 0.266
16 As 0.760 0.760 0.760

space group: No. 166
magnetic moment: 1.44 Bohr magnetons per cell
crystal system: trigonal
energy of formation: -1.13 eV per atom

***

(2)
VASP calculation (PBE) on crystalline Sr3Hf2PaAs6 at its relaxed geometry.

abc: 7.087 7.087 7.489
angles: 99.09 99.09 120.01
Atoms (fractional coordinates):
1 Sr 0.000 0.000 0.000
2 Sr 0.335 0.665 0.000
3 Sr 0.665 0.335 0.000
4 Hf 0.167 0.833 0.500
5 Hf 0.833 0.167 0.500
6 Pa 0.500 0.500 0.500
7 As 0.088 0.429 0.287
8 As 0.230 0.230 0.712
9 As 0.429 0.088 0.287
10 As 0.571 0.912 0.713
11 As 0.770 0.770 0.288
12 As 0.912 0.571 0.713

space group: No. 12
magnetic moment: 0.00 Bohr magnetons per cell
crystal system: monoclinic
energy of formation: -1.13 eV per atom

***

(3)
VASP calculation (PBE) on crystalline Hf2UPaAs4 at its relaxed geometry.

abc: 6.843 3.954 6.871
angles: 90.00 109.43 90.00
Atoms (fractional coordinates):
1 Hf 0.000 0.000 0.000
2 Hf 0.000 0.500 0.500
3 U 0.500 0.000 0.500
4 Pa 0.500 0.500 0.000
5 As 0.231 0.000 0.743
6 As 0.232 0.500 0.244
7 As 0.768 0.500 0.756
8 As 0.769 0.000 0.257

space group: No. 10
magnetic moment: 2.77 Bohr magnetons per cell
crystal system: monoclinic
energy of formation: -0.96 eV per atom

***

(4)
VASP calculation (PBE) on crystalline HfU2PaAs4 at its relaxed geometry.

abc: 6.937 3.994 7.033
angles: 90.00 108.97 90.00
Atoms (fractional coordinates):
1 Hf 0.000 0.000 0.000
2 U 0.500 0.000 0.500
3 U 0.500 0.500 0.000
4 Pa 0.000 0.500 0.500
5 As 0.239 0.500 0.237
6 As 0.244 0.000 0.759
7 As 0.756 0.000 0.241
8 As 0.761 0.500 0.763

space group: No. 10
magnetic moment: 0.12 Bohr magnetons per cell
crystal system: monoclinic
energy of formation: -0.86 eV per atom

***

(5)
VASP calculation (PBE) on crystalline Y2HfPaAs4 at its relaxed geometry.

abc: 6.957 4.040 7.025
angles: 90.00 109.31 90.00
Atoms (fractional coordinates):
1 Y 0.000 0.000 0.000
2 Y 0.500 0.500 0.000
3 Hf 0.000 0.500 0.500
4 Pa 0.500 0.000 0.500
5 As 0.238 0.000 0.736
6 As 0.244 0.500 0.257
7 As 0.756 0.500 0.743
8 As 0.762 0.000 0.264

space group: No. 10
magnetic moment: 0.00 Bohr magnetons per cell
crystal system: monoclinic
energy of formation: -1.27 eV per atom

***

(6)
VASP calculation (PBE) on crystalline HfZr2PaAs4 at its relaxed geometry.

abc: 6.761 3.962 6.771
angles: 90.00 109.85 90.00
Atoms (fractional coordinates):
1 Hf 0.000 0.000 0.000
2 Zr 0.500 0.000 0.500
3 Zr 0.500 0.500 0.000
4 Pa 0.000 0.500 0.500
5 As 0.250 0.500 0.243
6 As 0.258 0.000 0.761
7 As 0.742 0.000 0.239
8 As 0.750 0.500 0.757

space group: No. 10
magnetic moment: 0.00 Bohr magnetons per cell
crystal system: monoclinic
energy of formation: -1.05 eV per atom